No. 1
This record from Alexandria describes a relaxed structure of InSbTe2. The functional is PBE.

Summary:
Crystal system: orthorhombic
N(E_F) (states/eV/f.u.): 2.3
Uncorrected formation energy (kJ/mol of atoms): -1.94

Structure (CIF):
```
data_InSbTe2
_chemical_formula_sum 'In4 Sb4 Te8'
_cell_length_a 7.3270
_cell_length_b 8.2895
_cell_length_c 9.0828
_cell_angle_alpha 90.00
_cell_angle_beta 90.00
_cell_angle_gamma 90.00
_symmetry_space_group_name_H-M 'P 1'
_symmetry_Int_Tables_number 1
loop_
_symmetry_equiv_pos_as_xyz
'x,y,z'
loop_
_atom_site_label
_atom_site_fract_x
_atom_site_fract_y
_atom_site_fract_z
In1 0.9244 0.9983 0.8947
In2 0.4244 0.0017 0.1053
In3 0.4244 0.5017 0.3947
In4 0.9244 0.4983 0.6053
Sb1 0.1172 0.0315 0.4915
Sb2 0.6172 0.9685 0.5085
Sb3 0.6172 0.4685 0.9915
Sb4 0.1172 0.5315 0.0085
Te1 0.1380 0.2663 0.7767
Te2 0.6380 0.7337 0.2233
Te3 0.6380 0.2337 0.2767
Te4 0.1380 0.7663 0.7233
Te5 0.5701 0.1216 0.8223
Te6 0.0701 0.8784 0.1777
Te7 0.0701 0.3784 0.3223
Te8 0.5701 0.6216 0.6777
```

No. 2
This record from Alexandria describes a relaxed structure of InSbTe2. The functional is PBE.

Summary:
Crystal system: monoclinic
N(E_F) (states/eV/f.u.): 0.6
Uncorrected formation energy (kJ/mol of atoms): -12.29

Structure (CIF):
```
data_InSbTe2
_chemical_formula_sum 'In1 Sb1 Te2'
_cell_length_a 6.7537
_cell_length_b 6.7537
_cell_length_c 4.5955
_cell_angle_alpha 89.95
_cell_angle_beta 89.95
_cell_angle_gamma 38.54
_symmetry_space_group_name_H-M 'P 1'
_symmetry_Int_Tables_number 1
loop_
_symmetry_equiv_pos_as_xyz
'x,y,z'
loop_
_atom_site_label
_atom_site_fract_x
_atom_site_fract_y
_atom_site_fract_z
Sb1 0.7701 0.7701 0.8747
Te1 0.9878 0.9878 0.8748
Te2 0.2453 0.2453 0.3758
In1 0.4969 0.4969 0.3746
```

No. 3
This record from Alexandria describes a relaxed structure of InSbTe2. The functional is PBE.

Summary:
Crystal system: cubic
N(E_F) (states/eV/f.u.): 3.0
Uncorrected formation energy (kJ/mol of atoms): 18.43

Structure (CIF):
```
data_InSbTe2
_chemical_formula_sum 'In1 Sb1 Te2'
_cell_length_a 5.4235
_cell_length_b 5.4235
_cell_length_c 5.4235
_cell_angle_alpha 60.00
_cell_angle_beta 60.00
_cell_angle_gamma 60.00
_symmetry_space_group_name_H-M 'P 1'
_symmetry_Int_Tables_number 1
loop_
_symmetry_equiv_pos_as_xyz
'x,y,z'
loop_
_atom_site_label
_atom_site_fract_x
_atom_site_fract_y
_atom_site_fract_z
In1 0.5000 0.5000 0.5000
Sb1 0.7500 0.7500 0.7500
Te1 0.0000 0.0000 0.0000
Te2 0.2500 0.2500 0.2500
```

No. 4
This record from Alexandria describes a relaxed structure of InSbTe2. The functional is PBE.

Summary:
Crystal system: tetragonal
N(E_F) (states/eV/f.u.): 2.6
Uncorrected formation energy (kJ/mol of atoms): 6.07

Structure (CIF):
```
data_InSbTe2
_chemical_formula_sum 'In1 Sb1 Te2'
_cell_length_a 3.8505
_cell_length_b 3.8506
_cell_length_c 7.7849
_cell_angle_alpha 90.00
_cell_angle_beta 90.00
_cell_angle_gamma 90.00
_symmetry_space_group_name_H-M 'P 1'
_symmetry_Int_Tables_number 1
loop_
_symmetry_equiv_pos_as_xyz
'x,y,z'
loop_
_atom_site_label
_atom_site_fract_x
_atom_site_fract_y
_atom_site_fract_z
In1 0.5000 0.5000 0.2500
Sb1 0.5000 0.5000 0.7500
Te1 0.0000 0.0000 0.9881
Te2 0.0000 0.0000 0.5119
```

No. 5
This record from Alexandria describes a relaxed structure of In4SbTe5. The functional is PBE.

Summary:
Crystal system: monoclinic
N(E_F) (states/eV/f.u.): 4.5
Uncorrected formation energy (kJ/mol of atoms): -10.56

Structure (CIF):
```
data_In4SbTe5
_chemical_formula_sum 'In4 Sb1 Te5'
_cell_length_a 4.2486
_cell_length_b 8.5102
_cell_length_c 9.7537
_cell_angle_alpha 112.77
_cell_angle_beta 102.58
_cell_angle_gamma 90.00
_symmetry_space_group_name_H-M 'P 1'
_symmetry_Int_Tables_number 1
loop_
_symmetry_equiv_pos_as_xyz
'x,y,z'
loop_
_atom_site_label
_atom_site_fract_x
_atom_site_fract_y
_atom_site_fract_z
In1 0.6730 0.0741 0.3460
In2 0.0296 0.2766 0.0591
In3 0.3270 0.9259 0.6540
In4 0.9704 0.7234 0.9409
Sb1 0.5000 0.0000 0.0000
Te1 0.1977 0.3560 0.3953
Te2 0.1554 0.8201 0.3108
Te3 0.8446 0.1799 0.6892
Te4 0.5000 0.5000 0.0000
Te5 0.8023 0.6440 0.6047
```

No. 6
This record from Alexandria describes a relaxed structure of In2SbTe4. The functional is PBE.

Summary:
Crystal system: orthorhombic
N(E_F) (states/eV/f.u.): 2.3
Uncorrected formation energy (kJ/mol of atoms): -13.94

Structure (CIF):
```
data_In2SbTe4
_chemical_formula_sum 'In4 Sb2 Te8'
_cell_length_a 4.2896
_cell_length_b 7.4469
_cell_length_c 14.6384
_cell_angle_alpha 90.00
_cell_angle_beta 90.00
_cell_angle_gamma 106.74
_symmetry_space_group_name_H-M 'P 1'
_symmetry_Int_Tables_number 1
loop_
_symmetry_equiv_pos_as_xyz
'x,y,z'
loop_
_atom_site_label
_atom_site_fract_x
_atom_site_fract_y
_atom_site_fract_z
In1 0.1375 0.2751 0.4415
In2 0.8625 0.7249 0.9415
In3 0.1375 0.2751 0.0585
In4 0.8625 0.7249 0.5585
Sb1 0.6041 0.2081 0.7500
Sb2 0.3959 0.7919 0.2500
Te1 0.7699 0.5399 0.1260
Te2 0.7699 0.5399 0.3740
Te3 0.2301 0.4601 0.8740
Te4 0.2301 0.4601 0.6260
Te5 0.9608 0.9217 0.7500
Te6 0.0392 0.0783 0.2500
Te7 0.5000 0.0000 0.0000
Te8 0.5000 0.0000 0.5000
```

No. 7
This record from Alexandria describes a relaxed structure of InSbTe2. The functional is PBE.

Summary:
Crystal system: cubic
N(E_F) (states/eV/f.u.): 2.9
Uncorrected formation energy (kJ/mol of atoms): 7.63

Structure (CIF):
```
data_InSbTe2
_chemical_formula_sum 'In1 Sb1 Te2'
_cell_length_a 5.4490
_cell_length_b 5.4490
_cell_length_c 5.4490
_cell_angle_alpha 60.00
_cell_angle_beta 60.00
_cell_angle_gamma 60.00
_symmetry_space_group_name_H-M 'P 1'
_symmetry_Int_Tables_number 1
loop_
_symmetry_equiv_pos_as_xyz
'x,y,z'
loop_
_atom_site_label
_atom_site_fract_x
_atom_site_fract_y
_atom_site_fract_z
Sb1 0.5000 0.5000 0.5000
Te1 0.2500 0.2500 0.2500
Te2 0.7500 0.7500 0.7500
In1 0.0000 0.0000 0.0000
```

No. 8
This record from Alexandria describes a relaxed structure of InSbTe2. The functional is PBE.

Summary:
Crystal system: monoclinic
N(E_F) (states/eV/f.u.): 1.6
Uncorrected formation energy (kJ/mol of atoms): -14.44

Structure (CIF):
```
data_InSbTe2
_chemical_formula_sum 'In2 Sb2 Te4'
_cell_length_a 4.5391
_cell_length_b 4.4767
_cell_length_c 12.8975
_cell_angle_alpha 99.82
_cell_angle_beta 90.00
_cell_angle_gamma 90.00
_symmetry_space_group_name_H-M 'P 1'
_symmetry_Int_Tables_number 1
loop_
_symmetry_equiv_pos_as_xyz
'x,y,z'
loop_
_atom_site_label
_atom_site_fract_x
_atom_site_fract_y
_atom_site_fract_z
In1 0.2500 0.4342 0.8751
In2 0.7500 0.5658 0.1249
Sb1 0.2500 0.1784 0.3583
Sb2 0.7500 0.8216 0.6417
Te1 0.7500 0.6901 0.3764
Te2 0.2500 0.3099 0.6236
Te3 0.7500 0.9308 0.8674
Te4 0.2500 0.0692 0.1326
```

No. 9
This record from Alexandria describes a relaxed structure of In10Sb9Te. The functional is PBE.

Summary:
Crystal system: triclinic
N(E_F) (states/eV/f.u.): 13.3
Uncorrected formation energy (kJ/mol of atoms): -0.59

Structure (CIF):
```
data_In10Sb9Te
_chemical_formula_sum 'In10 Sb9 Te1'
_cell_length_a 7.5155
_cell_length_b 8.6171
_cell_length_c 9.8235
_cell_angle_alpha 103.83
_cell_angle_beta 96.70
_cell_angle_gamma 106.05
_symmetry_space_group_name_H-M 'P 1'
_symmetry_Int_Tables_number 1
loop_
_symmetry_equiv_pos_as_xyz
'x,y,z'
loop_
_atom_site_label
_atom_site_fract_x
_atom_site_fract_y
_atom_site_fract_z
In1 0.9012 0.5482 0.8018
In2 0.6969 0.1535 0.4016
In3 0.4989 0.7518 0.9985
In4 0.6961 0.6446 0.3986
In5 0.3039 0.3554 0.6014
In6 0.1018 0.9458 0.1956
In7 0.5011 0.2482 0.0015
In8 0.3031 0.8465 0.5984
In9 0.0988 0.4518 0.1982
In10 0.8982 0.0542 0.8044
Sb1 0.7980 0.5996 0.1022
Sb2 0.5989 0.1992 0.6987
Sb3 0.4011 0.8008 0.3013
Sb4 0.7995 0.0985 0.1068
Sb5 0.2020 0.4004 0.8978
Sb6 0.6112 0.7032 0.7011
Sb7 0.3888 0.2968 0.2989
Sb8 0.2005 0.9015 0.8932
Sb9 0.0000 0.5000 0.5000
Te1 0.0000 0.0000 0.5000
```

No. 10
This record from Alexandria describes a relaxed structure of In3SbTe2. The functional is PBE.

Summary:
Crystal system: tetragonal
N(E_F) (states/eV/f.u.): 1.8
Uncorrected formation energy (kJ/mol of atoms): -19.79

Structure (CIF):
```
data_In3SbTe2
_chemical_formula_sum 'In6 Sb2 Te4'
_cell_length_a 4.3840
_cell_length_b 4.3838
_cell_length_c 18.7719
_cell_angle_alpha 90.00
_cell_angle_beta 90.00
_cell_angle_gamma 90.00
_symmetry_space_group_name_H-M 'P 1'
_symmetry_Int_Tables_number 1
loop_
_symmetry_equiv_pos_as_xyz
'x,y,z'
loop_
_atom_site_label
_atom_site_fract_x
_atom_site_fract_y
_atom_site_fract_z
In1 0.5000 0.0000 0.7500
In2 0.0000 0.5000 0.9122
In3 0.5000 0.0000 0.0878
In4 0.0000 0.5000 0.2500
In5 0.5000 0.0000 0.4124
In6 0.0000 0.5000 0.5876
Sb1 0.5000 0.0000 0.2501
Sb2 0.0000 0.5000 0.7499
Te1 0.0000 0.5000 0.0798
Te2 0.0000 0.5000 0.4203
Te3 0.5000 0.0000 0.5797
Te4 0.5000 0.0000 0.9202
```

No. 11
This record from Alexandria describes a relaxed structure of InSbTe2. The functional is PBE.

Summary:
Crystal system: orthorhombic
N(E_F) (states/eV/f.u.): 2.2
Uncorrected formation energy (kJ/mol of atoms): 14.26

Structure (CIF):
```
data_InSbTe2
_chemical_formula_sum 'In1 Sb1 Te2'
_cell_length_a 3.4152
_cell_length_b 3.4152
_cell_length_c 10.6541
_cell_angle_alpha 90.00
_cell_angle_beta 90.00
_cell_angle_gamma 111.58
_symmetry_space_group_name_H-M 'P 1'
_symmetry_Int_Tables_number 1
loop_
_symmetry_equiv_pos_as_xyz
'x,y,z'
loop_
_atom_site_label
_atom_site_fract_x
_atom_site_fract_y
_atom_site_fract_z
In1 0.5000 0.5000 0.2500
Sb1 0.5000 0.5000 0.7500
Te1 0.0000 0.0000 0.9889
Te2 0.0000 0.0000 0.5111
```

No. 12
This record from Alexandria describes a relaxed structure of InSbTe2. The functional is PBE.

Summary:
Crystal system: tetragonal
N(E_F) (states/eV/f.u.): 1.5
Uncorrected formation energy (kJ/mol of atoms): 0.08

Structure (CIF):
```
data_InSbTe2
_chemical_formula_sum 'In2 Sb2 Te4'
_cell_length_a 8.0955
_cell_length_b 8.0955
_cell_length_c 7.1011
_cell_angle_alpha 55.25
_cell_angle_beta 55.25
_cell_angle_gamma 90.00
_symmetry_space_group_name_H-M 'P 1'
_symmetry_Int_Tables_number 1
loop_
_symmetry_equiv_pos_as_xyz
'x,y,z'
loop_
_atom_site_label
_atom_site_fract_x
_atom_site_fract_y
_atom_site_fract_z
Sb1 0.0000 0.0000 0.0000
Sb2 0.7500 0.2500 0.5000
Te1 0.6286 0.1250 0.2500
Te2 0.1214 0.6250 0.2500
Te3 0.3750 0.3714 0.7500
Te4 0.8750 0.8786 0.7500
In1 0.5000 0.5000 0.0000
In2 0.2500 0.7500 0.5000
```

Q: Which value of N(E_F) does entry 7 give?
A: 2.9 states/eV/f.u.

Q: Which formula does entry 10 have?
A: In3SbTe2

Q: Among the records above, which one has the lowest N(E_F)?
A: number 2